P.
Below is a relaxed LiPa2Ga3 crystal, with properties calculated at the PBE level.

The density of states at the Fermi level comes out at 8.08 states/eV/f.u. The space-group type is P6_3/mmc, No. 194. As for the density: 9.6 g/cm³.

a b c (Å): 5.677 5.677 8.396
angles (deg): 90.00 90.00 120.00
Each line ends with the local moment (μB).
Element x y z (fractional)
1 Li 0.000 0.000 0.500  0.00
2 Li 0.000 0.000 0.000  0.00
3 Pa 0.667 0.333 0.411  0.34
4 Pa 0.333 0.667 0.589  0.34
5 Pa 0.333 0.667 0.911  0.34
6 Pa 0.667 0.333 0.089  0.34
7 Ga 0.172 0.344 0.250  0.00
8 Ga 0.344 0.172 0.750  0.00
9 Ga 0.828 0.656 0.750  0.00
10 Ga 0.172 0.828 0.250  0.00
11 Ga 0.828 0.172 0.750  0.00
12 Ga 0.656 0.828 0.250  0.00

=====

Q.
Below is a relaxed LiPa2Ga3 crystal, with properties calculated at the PBE level.

The density of states at the Fermi level comes out at 8.14 states/eV/f.u. The space-group type is Fmmm, No. 69. As for the density: 9.5 g/cm³.

a b c (Å): 5.653 5.653 8.598
angles (deg): 101.97 101.97 111.67
Each line ends with the local moment (μB).
Element x y z (fractional)
1 Li 0.335 0.335 0.670  0.00
2 Li 0.665 0.665 0.330  0.00
3 Pa 0.250 0.750 0.500  0.55
4 Pa 0.776 0.776 0.000  0.49
5 Pa 0.750 0.250 0.500  0.55
6 Pa 0.224 0.224 0.000  0.49
7 Ga 0.654 0.178 0.832  0.00
8 Ga 0.822 0.346 0.168  0.00
9 Ga 0.346 0.822 0.168  0.00
10 Ga 0.178 0.654 0.832  0.00
11 Ga 0.828 0.828 0.656  0.00
12 Ga 0.172 0.172 0.344  0.00

=====

Top of the stability list: P, leading by 0.045 eV/atom.

=====

P.
Below is a relaxed LiPaGa crystal, with properties calculated at the PBE level.

The density of states at the Fermi level comes out at 4.83 states/eV/f.u. The space-group type is P-6m2, No. 187. As for the density: 8.6 g/cm³.

a b c (Å): 3.085 4.707 4.707
angles (deg): 120.00 90.00 90.00
Each line ends with the local moment (μB).
Element x y z (fractional)
1 Pa 0.667 0.333 0.667  0.77
2 Ga 0.167 0.000 0.000  -0.02
3 Li 0.167 0.667 0.333  0.04

=====

Q.
Below is a relaxed LiPaGa crystal, with properties calculated at the PBE level.

The density of states at the Fermi level comes out at 3.99 states/eV/f.u. The space-group type is I4mm, No. 107. As for the density: 8.8 g/cm³.

a b c (Å): 3.006 3.006 6.754
angles (deg): 102.86 102.86 90.00
Each line ends with the local moment (μB).
Element x y z (fractional)
1 Pa 0.008 0.008 0.016  0.42
2 Ga 0.684 0.684 0.367  -0.01
3 Li 0.309 0.309 0.617  0.00

=====

Top of the stability list: P, leading by 0.024 eV/atom.

=====

P.
Below is a relaxed LiGaRuPb2 crystal, with properties calculated at the PBE level.

The density of states at the Fermi level comes out at 3.61 states/eV/f.u. The space-group type is P4/mmm, No. 123. As for the density: 9.1 g/cm³.

a b c (Å): 4.978 4.379 4.978
angles (deg): 90.00 90.00 90.00
Element x y z (fractional)
1 Pb 0.000 0.000 0.500
2 Pb 0.500 0.000 0.000
3 Ru 0.000 0.500 0.000
4 Ga 0.500 0.500 0.500
5 Li 0.000 0.000 0.000

=====

Q.
Below is a relaxed LiGaRuPb2 crystal, with properties calculated at the PBE level.

The density of states at the Fermi level comes out at 2.70 states/eV/f.u. The space-group type is P4/mmm, No. 123. As for the density: 7.4 g/cm³.

a b c (Å): 5.221 4.869 5.221
angles (deg): 90.00 90.00 90.00
Element x y z (fractional)
1 Pb 0.000 0.000 0.500
2 Pb 0.500 0.000 0.000
3 Ru 0.000 0.000 0.000
4 Ga 0.500 0.500 0.500
5 Li 0.000 0.500 0.000

=====

Top of the stability list: Q, leading by 0.367 eV/atom.

=====

P.
Below is a relaxed LiGaPd6 crystal, with properties calculated at the PBE level.

The density of states at the Fermi level comes out at 7.12 states/eV/f.u. The space-group type is P-1, No. 2. As for the density: 9.5 g/cm³.

a b c (Å): 6.829 7.391 5.084
angles (deg): 42.21 47.06 56.24
Element x y z (fractional)
1 Li 0.500 0.500 0.500
2 Ga 0.000 0.000 0.000
3 Pd 0.952 0.554 0.737
4 Pd 0.759 0.954 0.844
5 Pd 0.553 0.241 0.266
6 Pd 0.241 0.046 0.156
7 Pd 0.048 0.446 0.263
8 Pd 0.447 0.759 0.734

=====

Q.
Below is a relaxed LiGaPd6 crystal, with properties calculated at the PBE level.

The density of states at the Fermi level comes out at 8.13 states/eV/f.u. The space-group type is Cmmm, No. 65. As for the density: 10.0 g/cm³.

a b c (Å): 3.970 5.482 5.482
angles (deg): 90.19 90.00 90.00
Element x y z (fractional)
1 Li 0.500 0.500 0.500
2 Ga 0.500 0.000 0.000
3 Pd 0.000 0.751 0.249
4 Pd 0.000 0.249 0.751
5 Pd 0.000 0.753 0.753
6 Pd 0.000 0.247 0.247
7 Pd 0.500 0.500 0.000
8 Pd 0.500 0.000 0.500

=====

Top of the stability list: Q, leading by 0.119 eV/atom.

=====

P.
Below is a relaxed LiGa8Pd6 crystal, with properties calculated at the PBE level.

The density of states at the Fermi level comes out at 2.12 states/eV/f.u. The space-group type is R-3, No. 148. As for the density: 8.0 g/cm³.

a b c (Å): 6.752 6.752 6.752
angles (deg): 66.52 66.52 66.52
Element x y z (fractional)
1 Li 0.000 0.000 0.000
2 Ga 0.199 0.568 0.876
3 Ga 0.124 0.801 0.432
4 Ga 0.432 0.124 0.801
5 Ga 0.666 0.666 0.666
6 Ga 0.334 0.334 0.334
7 Ga 0.568 0.876 0.199
8 Ga 0.876 0.199 0.568
9 Ga 0.801 0.432 0.124
10 Pd 0.050 0.389 0.716
11 Pd 0.284 0.950 0.611
12 Pd 0.611 0.284 0.950
13 Pd 0.389 0.716 0.050
14 Pd 0.716 0.050 0.389
15 Pd 0.950 0.611 0.284

=====

Q.
Below is a relaxed LiGa8Pd6 crystal, with properties calculated at the PBE level.

The density of states at the Fermi level comes out at 4.98 states/eV/f.u. The space-group type is P-3, No. 147. As for the density: 7.7 g/cm³.

a b c (Å): 3.585 9.119 9.119
angles (deg): 120.00 90.00 90.00
Element x y z (fractional)
1 Li 0.500 0.000 0.000
2 Ga 0.760 0.692 0.953
3 Ga 0.760 0.047 0.739
4 Ga 0.760 0.261 0.308
5 Ga 0.240 0.308 0.047
6 Ga 0.240 0.953 0.261
7 Ga 0.240 0.739 0.692
8 Ga 0.753 0.667 0.333
9 Ga 0.247 0.333 0.667
10 Pd 0.748 0.508 0.628
11 Pd 0.748 0.372 0.881
12 Pd 0.748 0.119 0.492
13 Pd 0.252 0.492 0.372
14 Pd 0.252 0.628 0.119
15 Pd 0.252 0.881 0.508

=====

Top of the stability list: P, leading by 0.136 eV/atom.

=====

P.
Below is a relaxed Li3Ga2Pd crystal, with properties calculated at the PBE level.

The density of states at the Fermi level comes out at 1.16 states/eV/f.u. The space-group type is C2/c, No. 15. As for the density: 5.1 g/cm³.

a b c (Å): 4.397 4.397 9.571
angles (deg): 102.93 102.93 91.12
Element x y z (fractional)
1 Li 0.204 0.455 0.408
2 Li 0.545 0.796 0.092
3 Li 0.796 0.545 0.592
4 Li 0.455 0.204 0.908
5 Li 0.625 0.375 0.250
6 Li 0.375 0.625 0.750
7 Ga 0.043 0.293 0.085
8 Ga 0.707 0.957 0.415
9 Ga 0.957 0.707 0.915
10 Ga 0.293 0.043 0.585
11 Pd 0.124 0.876 0.250
12 Pd 0.876 0.124 0.750

=====

Q.
Below is a relaxed Li3Ga2Pd crystal, with properties calculated at the PBE level.

The density of states at the Fermi level comes out at 2.57 states/eV/f.u. The space-group type is Ibam, No. 72. As for the density: 4.3 g/cm³.

a b c (Å): 5.286 5.373 8.220
angles (deg): 109.08 108.76 90.00
Element x y z (fractional)
1 Li 0.501 0.681 0.363
2 Li 0.499 0.319 0.637
3 Li 0.138 0.819 0.637
4 Li 0.862 0.181 0.363
5 Li 0.500 0.750 0.000
6 Li 0.500 0.250 0.000
7 Ga 0.314 0.132 0.263
8 Ga 0.686 0.868 0.737
9 Ga 0.051 0.368 0.737
10 Ga 0.949 0.632 0.263
11 Pd 0.000 0.250 0.000
12 Pd 0.000 0.750 0.000

=====

Top of the stability list: P, leading by 0.100 eV/atom.